Entry from Alexandria: a geometry-optimized KFeP2H structure (PBE).

Output
The density of states at the Fermi level is 4.9 states/eV per cell. The crystal system is tetragonal. As for the total energy: -4.409 eV per atom.

Unit cell a=4.1271 b=6.8895 c=4.1271 alpha=90.00 beta=90.00 gamma=90.00
With the nearest neighbours (Å) after each atom.
Fractional positions:
1 Fe 0.0000 0.0000 0.0000  4 P 2.06
2 H 0.5000 0.5000 0.5000  4 K 2.92
3 P 0.5000 0.0000 0.0000  2 Fe 2.06
4 P 0.0000 0.0000 0.5000  2 Fe 2.06
5 K 0.0000 0.5000 0.0000  4 H 2.92